No. 1
# Rb4Ac3SbSe8 | Alexandria via LeMat-Bulk | PBE | optimized geometry
# Energy relative to the elements, uncorrected (eV/atom): -1.511
# Total moment (μB/atom): 0.00
# Density of states at the Fermi level (states/eV/f.u.): 0.000
data_Rb4Ac3SbSe8
_chemical_formula_sum 'Rb12 Ac9 Sb3 Se24'
_cell_length_a 9.0718
_cell_length_b 9.0718
_cell_length_c 24.1196
_cell_angle_alpha 90.00
_cell_angle_beta 90.00
_cell_angle_gamma 120.00
_symmetry_space_group_name_H-M 'R -3 m'
_symmetry_Int_Tables_number 166
_symmetry_space_group_name_Hall '-R 3 2"'
loop_
_atom_site_label
_atom_site_type_symbol
_atom_site_fract_x
_atom_site_fract_y
_atom_site_fract_z
_atom_site_occupancy
Rb1 Rb 0.0000 0.0000 0.0000 1
Rb2 Rb 0.0000 0.5000 0.0000 1
Ac1 Ac 0.0000 0.5000 0.5000 1
Sb1 Sb 0.0000 0.0000 0.5000 1
Se1 Se 0.0000 0.0000 0.2366 1
Se2 Se 0.0146 0.5073 0.2342 1

=====

No. 2
# Rb2AcSbTe4 | Alexandria via LeMat-Bulk | PBE | optimized geometry
# Energy relative to the elements, uncorrected (eV/atom): -0.982
# Total moment (μB/atom): 0.00
data_Rb2AcSbTe4
_chemical_formula_sum 'Rb2 Ac1 Sb1 Te4'
_cell_length_a 8.207
_cell_length_b 4.728
_cell_length_c 9.000
_cell_angle_alpha 90.00
_cell_angle_beta 107.64
_cell_angle_gamma 90.00
_symmetry_space_group_name_H-M 'P 1 2/m 1'
_symmetry_Int_Tables_number 10
loop_
_symmetry_equiv_pos_as_xyz
'x,y,z'
'-x,-y,-z'
'-x,y,-z'
'x,-y,z'
loop_
_atom_site_label
_atom_site_type_symbol
_atom_site_fract_x
_atom_site_fract_y
_atom_site_fract_z
_atom_site_occupancy
Rb1 Rb 0.000 0.000 0.000 1
Rb2 Rb 0.500 0.500 0.000 1
Ac1 Ac 0.000 0.500 0.500 1
Sb1 Sb 0.500 0.000 0.500 1
Te1 Te 0.253 0.000 0.709 1
Te2 Te 0.283 0.500 0.300 1

=====

No. 3
# Rb2AcScSe4 | Alexandria via LeMat-Bulk | PBE | optimized geometry
# Energy relative to the elements, uncorrected (eV/atom): -1.648
# Total moment (μB/atom): 0.00
# Density of states at the Fermi level (states/eV/f.u.): 0.000
data_Rb2AcScSe4
_chemical_formula_sum 'Rb2 Ac1 Sc1 Se4'
_cell_length_a 7.518
_cell_length_b 4.341
_cell_length_c 8.389
_cell_angle_alpha 90.00
_cell_angle_beta 107.28
_cell_angle_gamma 90.00
_symmetry_space_group_name_H-M 'P 1 2/m 1'
_symmetry_Int_Tables_number 10
loop_
_symmetry_equiv_pos_as_xyz
'x,y,z'
'-x,-y,-z'
'-x,y,-z'
'x,-y,z'
loop_
_atom_site_label
_atom_site_type_symbol
_atom_site_fract_x
_atom_site_fract_y
_atom_site_fract_z
_atom_site_occupancy
Rb1 Rb 0.000 0.000 0.000 1
Rb2 Rb 0.500 0.500 0.000 1
Ac1 Ac 0.000 0.500 0.500 1
Sc1 Sc 0.500 0.000 0.500 1
Se1 Se 0.264 0.000 0.701 1
Se2 Se 0.294 0.500 0.310 1

=====

No. 4
# Rb4Ac3ScSe8 | Alexandria via LeMat-Bulk | PBE | optimized geometry
# Energy relative to the elements, uncorrected (eV/atom): -1.716
# Total moment (μB/atom): 0.00
# Density of states at the Fermi level (states/eV/f.u.): 0.000
data_Rb4Ac3ScSe8
_chemical_formula_sum 'Rb12 Ac9 Sc3 Se24'
_cell_length_a 8.9510
_cell_length_b 8.9510
_cell_length_c 24.1270
_cell_angle_alpha 90.00
_cell_angle_beta 90.00
_cell_angle_gamma 120.00
_symmetry_space_group_name_H-M 'R -3 m'
_symmetry_Int_Tables_number 166
_symmetry_space_group_name_Hall '-R 3 2"'
loop_
_atom_site_label
_atom_site_type_symbol
_atom_site_fract_x
_atom_site_fract_y
_atom_site_fract_z
_atom_site_occupancy
Rb1 Rb 0.0000 0.0000 0.0000 1
Rb2 Rb 0.0000 0.5000 0.0000 1
Ac1 Ac 0.0000 0.5000 0.5000 1
Sc1 Sc 0.0000 0.0000 0.5000 1
Se1 Se 0.0000 0.0000 0.2376 1
Se2 Se 0.0267 0.5134 0.2325 1

=====

Q: What is the energy relative to the elements, uncorrected in the second record?
A: -0.982 eV/atom

=====

Q: The highest energy relative to the elements, uncorrected belongs to which entry?
A: Rb2AcSbTe4